A plane-wave DFT calculation with GGA-PBE was carried out for a geometry-optimized BaLi2CdIn structure.

Values from the calculation:
The calculation puts the offset from the most stable computed form at 0.021 eV/atom. Its formation enthalpy at 0 K is -0.096 eV/atom. As for the total energy: -1.977 eV per atom.

Lattice parameters (Å, degrees): 5.3359 5.3359 5.5141 90.00 90.00 90.00
Last column: nearest neighbours and their distance in Å.
Space group P4/mmm (No. 123)
Unique sites:
1 Ba 0.0000 0.0000 0.0000 [1 per cell]  4 In 3.77, 8 Li 3.84
2 Li 0.0000 0.5000 0.5000 [2 per cell]  2 Cd 2.67
3 Cd 0.5000 0.5000 0.5000 [1 per cell]  4 Li 2.67, 2 In 2.76
4 In 0.5000 0.5000 0.0000 [1 per cell]  2 Cd 2.76